DFT (PBE) results for La2PrHo3Se6 after structural relaxation.

Summary:
The formation energy without anion corrections is -1.8442 eV per atom. The mass density comes out at 7455 kg/m³. The space-group type is No. 12. For the electronic total energy, the calculation gives -5.950 eV/atom. As for the density of states at the Fermi level: 0.458 states/eV per atom. Its crystal system is monoclinic.

Cell and atoms, written as POSCAR:
```
La2PrHo3Se6
1.0
4.1143 0.0000 0.0000
0.0000 8.4865 0.1614
-2.0571 -2.5934 8.8001
Ho La Se Pr
3 2 6 1
Direct
0.5000 0.5000 0.0000
0.8336 0.1670 0.6671
0.1664 0.8330 0.3329
0.8344 0.6687 0.6688
0.1656 0.3313 0.3312
0.6708 0.0703 0.3416
0.3377 0.4053 0.6754
0.0050 0.7392 0.0101
0.6623 0.5947 0.3246
0.3292 0.9297 0.6584
0.9950 0.2608 0.9899
0.5000 0.0000 0.0000
```

DFT (PBE) results for La2MgHgOs after structural relaxation.

Summary:
The mass density comes out at 7377 kg/m³. The space-group type is No. 123. For the electronic total energy, the calculation gives -4.747 eV/atom. As for the density of states at the Fermi level: 0.862 states/eV per atom. Its crystal system is tetragonal.

Cell and atoms, written as POSCAR:
```
La2MgHgOs
1.0
-3.5961 1.0948 3.9849
-3.9893 -2.2984 -2.9686
1.0234 -4.6025 2.1881
La Mg Os Hg
2 1 1 1
Direct
0.5000 0.0000 0.0000
0.0000 0.5000 0.0000
0.0000 0.0000 0.5000
0.0000 0.0000 0.0000
0.5000 0.5000 0.5000
```

DFT (PBE) results for ZrInTe2N after structural relaxation.

Summary:
The formation energy without anion corrections is 0.7326 eV per atom. The mass density comes out at 6053 kg/m³. The value obtained for the relative energy among the computed polymorphs is 409 kJ/mol of formula units. The space-group type is No. 123. For the electronic total energy, the calculation gives -4.446 eV/atom. As for the density of states at the Fermi level: 0.622 states/eV per atom. Its crystal system is tetragonal.

Cell and atoms, written as POSCAR:
```
ZrInTe2N
1.0
-0.1751 -1.9946 -5.3418
-5.3398 -1.8172 0.8535
-1.4044 3.5296 -1.2719
Zr Te N In
1 2 1 1
Direct
0.5000 0.5000 0.5000
0.0000 0.5000 0.0000
0.5000 0.0000 0.0000
0.0000 0.0000 0.5000
0.0000 0.0000 0.0000
```

DFT (PBE) results for CoAsW2 after structural relaxation.

Summary:
The mass density comes out at 14076 kg/m³. The space-group type is No. 12. For the electronic total energy, the calculation gives -9.120 eV/atom. As for the density of states at the Fermi level: 0.697 states/eV per atom. Its crystal system is monoclinic.

Cell and atoms, written as POSCAR:
```
CoAsW2
1.0
4.7511 -0.0174 0.0456
3.7829 2.8746 0.0456
0.7438 0.2490 4.3194
W Co As
2 1 1
Direct
0.4951 0.4951 0.5121
0.0049 0.0049 0.9879
0.7500 0.7500 0.7500
0.2500 0.2500 0.2500
```

DFT (PBE) results for KMgOs after structural relaxation.

Summary:
The mass density comes out at 4744 kg/m³. The value obtained for the relative energy among the computed polymorphs is 408 kJ/mol of formula units. The space-group type is No. 216. For the electronic total energy, the calculation gives -2.480 eV/atom. As for the density of states at the Fermi level: 1.299 states/eV per atom. Its crystal system is cubic.

Cell and atoms, written as POSCAR:
```
KMgOs
1.0
5.0072 0.0000 0.0000
2.5036 4.3364 0.0000
2.5036 1.4455 4.0884
K Mg Os
1 1 1
Direct
0.7500 0.7500 0.7500
0.0000 0.0000 0.0000
0.5000 0.5000 0.5000
```

DFT (PBE) results for CsGa4Ge5 after structural relaxation.

Summary:
The mass density comes out at 4489 kg/m³. The space-group type is No. 59. For the electronic total energy, the calculation gives -3.406 eV/atom. As for the density of states at the Fermi level: 0.419 states/eV per atom. Its crystal system is orthorhombic.

Cell and atoms, written as POSCAR:
```
CsGa4Ge5
1.0
7.4571 0.0000 0.0000
0.0000 8.1260 0.0000
0.0000 0.0000 9.4626
Ge Ga Cs
10 8 2
Direct
0.3630 0.9808 0.6142
0.6370 0.0192 0.1142
0.6370 0.4808 0.1142
0.7870 0.7500 0.7500
0.6370 0.4808 0.3858
0.3630 0.5192 0.6142
0.6370 0.0192 0.3858
0.3630 0.5192 0.8858
0.2130 0.2500 0.2500
0.3630 0.9808 0.8858
0.0756 0.5887 0.7500
0.9244 0.4113 0.2500
0.4017 0.2500 0.0278
0.5983 0.7500 0.5278
0.0756 0.9113 0.7500
0.9244 0.0887 0.2500
0.4017 0.2500 0.4722
0.5983 0.7500 0.9722
0.7687 0.2500 0.7500
0.2313 0.7500 0.2500
```

DFT (PBE) results for Na4Dy3YTe8 after structural relaxation.

Summary:
The formation energy without anion corrections is -1.3202 eV per atom. The mass density comes out at 5459 kg/m³. The space-group type is No. 166. For the electronic total energy, the calculation gives -4.488 eV/atom. Its crystal system is trigonal.

Cell and atoms, written as POSCAR:
```
Na4Dy3YTe8
1.0
-2.7538 7.2167 -4.3300
-7.0163 -4.7353 -3.4299
1.1216 0.2633 8.7801
Dy Te Y Na
3 8 1 4
Direct
0.5000 0.5000 0.0000
0.5000 0.5000 0.5000
0.0000 0.5000 0.5000
0.7558 0.2679 0.5116
0.7440 0.7319 0.4880
0.2442 0.7321 0.9880
0.2560 0.2681 0.5120
0.7558 0.2679 0.0120
0.2442 0.7321 0.4884
0.7438 0.7321 0.9880
0.2562 0.2679 0.0120
0.0000 0.5000 0.0000
0.5000 0.0000 0.5000
0.0000 0.0000 0.0000
0.0000 0.0000 0.5000
0.5000 0.0000 0.0000
```

DFT (PBE) results for K2TcNi2S4 after structural relaxation.

Summary:
The formation energy without anion corrections is -0.6195 eV per atom. The mass density comes out at 4114 kg/m³. The space-group type is No. 12. For the electronic total energy, the calculation gives -5.134 eV/atom. As for the density of states at the Fermi level: 0.683 states/eV per atom. Its crystal system is monoclinic.

Cell and atoms, written as POSCAR:
```
K2TcNi2S4
1.0
3.6398 0.0000 0.0000
0.0000 7.4104 0.5750
-1.8199 -2.4018 6.1258
K S Tc Ni
2 4 1 2
Direct
0.8655 0.4406 0.7309
0.1345 0.5594 0.2691
0.8044 0.8383 0.6087
0.1956 0.1617 0.3913
0.4877 0.2215 0.9754
0.5123 0.7785 0.0246
0.0000 0.0000 0.0000
0.6694 0.9839 0.3387
0.3306 0.0161 0.6613
```

DFT (PBE) results for SrInSi2 after structural relaxation.

Summary:
The formation energy without anion corrections is 0.1485 eV per atom. The mass density comes out at 4563 kg/m³. The space-group type is No. 139. For the electronic total energy, the calculation gives -3.668 eV/atom. As for the density of states at the Fermi level: 0.355 states/eV per atom. Its crystal system is tetragonal.

Cell and atoms, written as POSCAR:
```
SrInSi2
1.0
5.5948 -0.0124 -0.0054
1.9398 5.2477 0.0054
-3.7628 -2.6242 3.2026
Sr Si In
1 2 1
Direct
0.7500 0.2500 0.5000
0.0002 0.0002 0.0000
0.4998 0.4998 0.0000
0.2500 0.7500 0.5000
```

DFT (PBE) results for GaSnP after structural relaxation.

Summary:
The mass density comes out at 5222 kg/m³. The value obtained for the relative energy among the computed polymorphs is 9 kJ/mol of formula units. The space-group type is No. 4. For the electronic total energy, the calculation gives -4.192 eV/atom. As for the density of states at the Fermi level: 0.388 states/eV per atom. Its crystal system is monoclinic.

Cell and atoms, written as POSCAR:
```
GaSnP
1.0
3.7819 0.0000 0.0087
0.0000 6.2033 0.0000
-1.4905 0.0000 5.9446
Ga P Sn
2 2 2
Direct
0.8187 0.4495 0.0919
0.1813 0.9495 0.9081
0.7568 0.8276 0.1169
0.2432 0.3276 0.8831
0.6180 0.8481 0.5219
0.3820 0.3481 0.4781
```

DFT (PBE) results for Ba2SrLi2In2 after structural relaxation.

Summary:
The mass density comes out at 3747 kg/m³. The space-group type is No. 166. For the electronic total energy, the calculation gives -2.344 eV/atom. As for the density of states at the Fermi level: 1.211 states/eV per atom. Its crystal system is trigonal.

Cell and atoms, written as POSCAR:
```
Ba2SrLi2In2
1.0
-3.3708 2.3186 -3.2346
-4.3265 -2.5025 -1.4899
-8.1527 4.2792 7.3588
Sr Ba Li In
1 2 2 2
Direct
0.0000 0.0000 0.0000
0.1129 0.1129 0.6612
0.8871 0.8871 0.3388
0.6215 0.6215 0.1356
0.3785 0.3785 0.8644
0.2805 0.2805 0.1584
0.7195 0.7195 0.8416
```

DFT (PBE) results for Tl2I3N2 after structural relaxation.

Summary:
The formation energy without anion corrections is 0.6540 eV per atom. The mass density comes out at 6375 kg/m³. The space-group type is No. 2. For the electronic total energy, the calculation gives -3.065 eV/atom. As for the density of states at the Fermi level: 0.439 states/eV per atom. Its crystal system is triclinic.

Cell and atoms, written as POSCAR:
```
Tl2I3N2
1.0
4.1856 -0.6411 0.2891
0.5110 4.2467 2.4655
-2.7117 1.1878 12.0104
Tl N I
2 2 3
Direct
0.1089 0.1710 0.2199
0.8911 0.8290 0.7801
0.3489 0.8621 0.6930
0.6511 0.1379 0.3070
0.0000 0.0000 0.0000
0.6832 0.4375 0.3776
0.3168 0.5625 0.6224
```

DFT (PBE) results for LaTbIn6 after structural relaxation.

Summary:
The mass density comes out at 7805 kg/m³. The value obtained for the relative energy among the computed polymorphs is 0 kJ/mol of formula units. The space-group type is No. 123. For the electronic total energy, the calculation gives -3.706 eV/atom. As for the density of states at the Fermi level: 0.485 states/eV per atom. Its crystal system is tetragonal.

Cell and atoms, written as POSCAR:
```
LaTbIn6
1.0
-4.5782 -1.0742 0.4213
-0.1661 -1.0922 -4.5903
2.2775 -8.9076 2.0371
In La Tb
6 1 1
Direct
0.0000 0.5000 0.7436
0.5000 0.5000 0.0000
0.5000 0.0000 0.2564
0.5000 0.0000 0.7436
0.5000 0.5000 0.5000
0.0000 0.5000 0.2564
0.0000 0.0000 0.0000
0.0000 0.0000 0.5000
```

DFT (PBE) results for LiSi2W after structural relaxation.

Summary:
The formation energy without anion corrections is -0.0358 eV per atom. The mass density comes out at 6986 kg/m³. The value obtained for the relative energy among the computed polymorphs is 9 kJ/mol of formula units. The space-group type is No. 13. For the electronic total energy, the calculation gives -6.464 eV/atom. As for the density of states at the Fermi level: 0.546 states/eV per atom. Its crystal system is monoclinic.

Cell and atoms, written as POSCAR:
```
LiSi2W
1.0
5.0094 0.0000 -1.3272
0.0000 5.0597 0.0000
-0.4996 0.0000 9.3957
Si W Li
8 4 4
Direct
0.0909 0.8963 0.4090
0.0513 0.6418 0.9119
0.9487 0.3582 0.0881
0.5909 0.1037 0.9090
0.4091 0.8963 0.0910
0.5513 0.3582 0.4119
0.9091 0.1037 0.5910
0.4487 0.6418 0.5881
0.9186 0.8548 0.1282
0.0814 0.1452 0.8718
0.5814 0.8548 0.3718
0.4186 0.1452 0.6282
0.0093 0.4030 0.3636
0.4907 0.4030 0.1364
0.9907 0.5970 0.6364
0.5093 0.5970 0.8636
```

DFT (PBE) results for RbGa7Au12 after structural relaxation.

Summary:
The mass density comes out at 12427 kg/m³. The space-group type is No. 166. For the electronic total energy, the calculation gives -3.196 eV/atom. As for the density of states at the Fermi level: 0.332 states/eV per atom. Its crystal system is trigonal.

Cell and atoms, written as POSCAR:
```
RbGa7Au12
1.0
-6.7612 1.0600 -2.4231
5.1038 3.5762 -5.4259
1.1763 -8.1694 0.3950
Ga Au Rb
7 12 1
Direct
0.2073 0.6463 0.0000
0.5610 0.3537 0.3537
0.4390 0.6463 0.6463
0.7927 0.3537 0.0000
0.2073 0.0000 0.6463
0.7927 0.0000 0.3537
0.5000 0.0000 0.0000
0.0876 0.6806 0.6806
0.4070 0.0000 0.3194
0.7366 0.7366 0.4732
0.9124 0.3194 0.3194
0.5930 0.0000 0.6806
0.2634 0.5268 0.2634
0.7366 0.4732 0.7366
0.4070 0.3194 0.0000
0.0000 0.2634 0.7366
0.0000 0.7366 0.2634
0.5930 0.6806 0.0000
0.2634 0.2634 0.5268
0.0000 0.0000 0.0000
```

DFT (PBE) results for Li2AlSi2Ni5 after structural relaxation.

Summary:
The formation energy without anion corrections is -0.3823 eV per atom. The mass density comes out at 5259 kg/m³. The space-group type is No. 127. For the electronic total energy, the calculation gives -5.115 eV/atom. As for the density of states at the Fermi level: 0.561 states/eV per atom. Its crystal system is tetragonal.

Cell and atoms, written as POSCAR:
```
Li2AlSi2Ni5
1.0
3.4399 0.0000 0.0000
0.0000 8.4668 0.0000
0.0000 0.0000 8.4668
Li Si Ni Al
4 4 10 2
Direct
0.0000 0.3290 0.8290
0.0000 0.8290 0.6710
0.0000 0.6710 0.1710
0.0000 0.1710 0.3290
0.0000 0.1268 0.6268
0.0000 0.8732 0.3732
0.0000 0.6268 0.8732
0.0000 0.3732 0.1268
0.5000 0.2039 0.0729
0.5000 0.4271 0.2961
0.5000 0.2961 0.5729
0.5000 0.0000 0.5000
0.5000 0.5000 0.0000
0.5000 0.7039 0.4271
0.5000 0.5729 0.7039
0.5000 0.9271 0.2039
0.5000 0.7961 0.9271
0.5000 0.0729 0.7961
0.0000 0.5000 0.5000
0.0000 0.0000 0.0000
```

DFT (PBE) results for HoZr4PaN8 after structural relaxation.

Summary:
The formation energy without anion corrections is -1.4638 eV per atom. The mass density comes out at 7080 kg/m³. The space-group type is No. 160. For the electronic total energy, the calculation gives -9.669 eV/atom. Its crystal system is trigonal.

Cell and atoms, written as POSCAR:
```
HoZr4PaN8
1.0
6.6054 0.0000 0.0000
3.3027 5.7204 0.0000
3.3027 1.9068 5.4179
N Zr Pa Ho
8 4 1 1
Direct
0.2441 0.2441 0.7313
0.2418 0.2418 0.2747
0.2324 0.7459 0.2759
0.2441 0.7805 0.7313
0.7459 0.7459 0.2759
0.7805 0.2441 0.7313
0.7459 0.2324 0.2759
0.7565 0.7565 0.7304
0.0014 0.0014 0.4964
0.0014 0.5008 0.4964
0.6236 0.6236 0.1293
0.5008 0.0014 0.4964
0.3820 0.3820 0.8539
0.9996 0.9996 0.0012
```

DFT (PBE) results for BaMnPt2 after structural relaxation.

Summary:
The mass density comes out at 8920 kg/m³. The space-group type is No. 6. For the electronic total energy, the calculation gives -6.072 eV/atom. As for the density of states at the Fermi level: 0.437 states/eV per atom. Its crystal system is monoclinic.

Cell and atoms, written as POSCAR:
```
BaMnPt2
1.0
-0.9994 4.0255 -1.7946
-4.8186 -1.3612 -0.3698
-1.1000 1.6664 4.3506
Pt Ba Mn
2 1 1
Direct
0.5000 0.2872 0.0126
0.0000 0.9903 0.0127
0.0000 0.4490 0.4984
0.5000 0.7735 0.9763
```

DFT (PBE) results for K7RbHg3 after structural relaxation.

Summary:
The mass density comes out at 2579 kg/m³. The space-group type is No. 8. For the electronic total energy, the calculation gives -0.978 eV/atom. As for the density of states at the Fermi level: 0.682 states/eV per atom. Its crystal system is monoclinic.

Cell and atoms, written as POSCAR:
```
K7RbHg3
1.0
-6.1863 -0.6787 6.4338
-8.9053 0.6174 -2.2708
-2.7772 -8.9382 2.6135
Rb K Hg
1 7 3
Direct
0.6797 0.6557 0.9848
0.4025 0.3709 0.3255
0.3213 0.9161 0.4412
0.9010 0.3709 0.3255
0.2809 0.1075 0.8343
0.9207 0.8811 0.2775
0.3137 0.5753 0.7974
0.7773 0.1075 0.8343
0.6652 0.7162 0.6052
0.0135 0.7162 0.6052
0.9984 0.3652 0.6379
```

DFT (PBE) results for PmHgGe after structural relaxation.

Summary:
The mass density comes out at 9393 kg/m³. The value obtained for the relative energy among the computed polymorphs is 0 kJ/mol of formula units. The space-group type is No. 63. For the electronic total energy, the calculation gives -3.798 eV/atom. As for the density of states at the Fermi level: 0.447 states/eV per atom. Its crystal system is orthorhombic.

Cell and atoms, written as POSCAR:
```
PmHgGe
1.0
4.0450 0.0000 0.0000
0.0000 4.1463 -0.9618
0.0000 -0.1324 8.8475
Ge Pm Hg
2 2 2
Direct
0.7500 0.4528 0.9056
0.2500 0.5472 0.0944
0.7500 0.0969 0.1937
0.2500 0.9031 0.8063
0.7500 0.2849 0.5698
0.2500 0.7151 0.4302
```